An optimized crystal structure of DySc4, computed with PBE.

Summary:
The calculation puts the density of states at the Fermi level at 7.91 states/eV/cell. The value obtained for the formation energy is 0.86 eV/atom. As for the space-group type: Pm-3m, No. 221. The value obtained for the relative energy among the computed polymorphs is 815 meV per atom.

```
DySc4
1.0
5.217 0.000 0.000
0.000 5.217 0.000
0.000 0.000 5.217
Dy Sc
1 4
direct
0.000 0.000 0.000 Dy
0.000 0.000 0.500 Sc
0.000 0.500 0.000 Sc
0.500 0.000 0.000 Sc
0.500 0.500 0.500 Sc
```

=====

An optimized crystal structure of Dy4Sc3, computed with PBE.

Summary:
The calculation puts the density of states at the Fermi level at 10.77 states/eV/cell. The value obtained for the formation energy is 0.05 eV/atom. As for the space-group type: Immm, No. 71. The value obtained for the relative energy among the computed polymorphs is 0 meV per atom.

```
Dy4Sc3
1.0
-1.725 2.380 12.073
1.725 -2.380 12.073
1.725 2.380 -12.073
Dy Sc
4 3
direct
0.071 0.071 0.000 Dy
0.212 0.212 0.000 Dy
0.788 0.788 0.000 Dy
0.929 0.929 0.000 Dy
0.358 0.358 0.000 Sc
0.500 0.500 0.000 Sc
0.642 0.642 0.000 Sc
```

=====

An optimized crystal structure of DySc4, computed with PBE.

Summary:
The calculation puts the density of states at the Fermi level at 10.02 states/eV/cell. The value obtained for the formation energy is 0.04 eV/atom. As for the space-group type: Immm, No. 71. The value obtained for the relative energy among the computed polymorphs is 0 meV per atom.

```
DySc4
1.0
-1.626 2.619 7.561
1.626 -2.619 7.561
1.626 2.619 -7.561
Dy Sc
1 4
direct
0.000 0.000 0.000 Dy
0.213 0.713 0.500 Sc
0.399 0.399 0.000 Sc
0.601 0.601 0.000 Sc
0.787 0.287 0.500 Sc
```

=====

An optimized crystal structure of Dy5Sc, computed with PBE.

Summary:
The calculation puts the density of states at the Fermi level at 8.31 states/eV/cell. The value obtained for the formation energy is 0.03 eV/atom. As for the space-group type: Cmmm, No. 65.

```
Dy5Sc
1.0
2.473 -7.402 0.000
2.473 7.402 0.000
0.000 0.000 4.950
Dy Sc
5 1
direct
0.000 0.000 0.000 Dy
0.164 0.836 0.500 Dy
0.335 0.665 0.000 Dy
0.665 0.335 0.000 Dy
0.836 0.164 0.500 Dy
0.500 0.500 0.500 Sc
```

=====

An optimized crystal structure of Dy3Sc, computed with PBE.

Summary:
The calculation puts the density of states at the Fermi level at 8.56 states/eV/cell. The value obtained for the formation energy is 0.14 eV/atom. As for the space-group type: Fm-3m, No. 225. The value obtained for the relative energy among the computed polymorphs is 118 meV per atom.

```
Dy3Sc
1.0
0.000 3.911 3.911
3.911 0.000 3.911
3.911 3.911 0.000
Dy Sc
3 1
direct
0.000 0.000 0.000 Dy
0.250 0.250 0.250 Dy
0.750 0.750 0.750 Dy
0.500 0.500 0.500 Sc
```

=====

An optimized crystal structure of Dy2Sc5, computed with PBE.

Summary:
The calculation puts the density of states at the Fermi level at 16.83 states/eV/cell. The value obtained for the formation energy is 0.13 eV/atom. As for the space-group type: R-3m, No. 166. The value obtained for the relative energy among the computed polymorphs is 74 meV per atom.

```
Dy2Sc5
1.0
2.652 1.531 7.652
-2.652 1.531 7.652
0.000 -3.062 7.652
Dy Sc
2 5
direct
0.137 0.137 0.137 Dy
0.863 0.863 0.863 Dy
0.000 0.000 0.000 Sc
0.289 0.289 0.289 Sc
0.426 0.426 0.426 Sc
0.574 0.574 0.574 Sc
0.711 0.711 0.711 Sc
```

=====

An optimized crystal structure of DySc4, computed with PBE.

Summary:
The calculation puts the density of states at the Fermi level at 9.14 states/eV/cell. The value obtained for the formation energy is 0.06 eV/atom. As for the space-group type: C2/m, No. 12. The value obtained for the relative energy among the computed polymorphs is 17 meV per atom.

```
DySc4
1.0
2.883 -1.666 0.000
2.883 1.666 0.000
-1.896 0.000 13.419
Dy Sc
1 4
direct
0.000 0.000 0.000 Dy
0.200 0.200 0.598 Sc
0.401 0.401 0.208 Sc
0.599 0.599 0.792 Sc
0.800 0.800 0.402 Sc
```

=====

An optimized crystal structure of DySc7, computed with PBE.

Summary:
The calculation puts the density of states at the Fermi level at 14.78 states/eV/cell. The value obtained for the formation energy is 0.03 eV/atom. As for the space-group type: Immm, No. 71. The value obtained for the relative energy among the computed polymorphs is 0 meV per atom.

```
DySc7
1.0
-1.632 5.136 6.038
1.632 -5.136 6.038
1.632 5.136 -6.038
Dy Sc
1 7
direct
0.000 0.000 0.000 Dy
0.136 0.366 0.770 Sc
0.246 0.746 0.500 Sc
0.403 0.634 0.770 Sc
0.500 0.000 0.500 Sc
0.597 0.366 0.230 Sc
0.754 0.254 0.500 Sc
0.864 0.634 0.230 Sc
```

=====

An optimized crystal structure of Dy2Sc13, computed with PBE.

Summary:
The calculation puts the density of states at the Fermi level at 25.56 states/eV/cell. The value obtained for the formation energy is 0.06 eV/atom. As for the space-group type: P-1, No. 2.

```
Dy2Sc13
1.0
6.097 0.000 0.000
1.226 8.193 0.000
1.305 3.202 7.556
Dy Sc
2 13
direct
0.085 0.301 0.420 Dy
0.915 0.699 0.580 Dy
0.000 0.500 0.000 Sc
0.111 0.949 0.748 Sc
0.192 0.716 0.182 Sc
0.289 0.121 0.987 Sc
0.340 0.440 0.658 Sc
0.395 0.902 0.399 Sc
0.485 0.669 0.840 Sc
0.515 0.331 0.160 Sc
0.605 0.098 0.601 Sc
0.660 0.560 0.342 Sc
0.711 0.879 0.013 Sc
0.808 0.284 0.818 Sc
0.889 0.051 0.252 Sc
```

=====

An optimized crystal structure of Dy5Sc2, computed with PBE.

Summary:
The calculation puts the density of states at the Fermi level at 24.47 states/eV/cell. The value obtained for the formation energy is 0.02 eV/atom. As for the space-group type: C2/c, No. 15. The value obtained for the relative energy among the computed polymorphs is 0 meV per atom.

```
Dy5Sc2
1.0
7.633 -3.058 0.000
7.633 3.058 0.000
-0.945 0.000 8.903
Dy Sc
10 4
direct
0.033 0.691 0.038 Dy
0.121 0.447 0.678 Dy
0.172 0.828 0.750 Dy
0.309 0.967 0.462 Dy
0.447 0.121 0.178 Dy
0.553 0.879 0.822 Dy
0.691 0.033 0.538 Dy
0.828 0.172 0.250 Dy
0.879 0.553 0.322 Dy
0.967 0.309 0.962 Dy
0.268 0.593 0.393 Sc
0.407 0.732 0.107 Sc
0.593 0.268 0.893 Sc
0.732 0.407 0.607 Sc
```

=====

An optimized crystal structure of DySc5, computed with PBE.

Summary:
The calculation puts the density of states at the Fermi level at 20.24 states/eV/cell. The value obtained for the formation energy is 0.05 eV/atom. As for the space-group type: P2_1/m, No. 11. The value obtained for the relative energy among the computed polymorphs is 39 meV per atom.

```
DySc5
1.0
5.726 0.000 0.000
0.000 9.891 0.000
-1.919 0.000 5.401
Dy Sc
2 10
direct
0.249 0.250 0.499 Dy
0.751 0.750 0.501 Dy
0.250 0.081 0.000 Sc
0.250 0.419 0.000 Sc
0.250 0.583 0.500 Sc
0.250 0.917 0.500 Sc
0.251 0.750 0.001 Sc
0.749 0.250 0.999 Sc
0.750 0.083 0.500 Sc
0.750 0.417 0.500 Sc
0.750 0.581 0.000 Sc
0.750 0.919 0.000 Sc
```

=====

An optimized crystal structure of DySc5, computed with PBE.

Summary:
The calculation puts the density of states at the Fermi level at 11.17 states/eV/cell. The value obtained for the formation energy is 0.01 eV/atom. As for the space-group type: Cm, No. 8. The value obtained for the relative energy among the computed polymorphs is 0 meV per atom.

```
DySc5
1.0
5.991 -1.684 0.000
5.991 1.684 0.000
-1.748 0.000 7.624
Dy Sc
1 5
direct
0.000 0.000 0.000 Dy
0.278 0.278 0.065 Sc
0.334 0.334 0.664 Sc
0.617 0.617 0.720 Sc
0.671 0.671 0.343 Sc
0.947 0.947 0.396 Sc
```